[1]
The following is a PBE calculation of a relaxed structure of CaTmAl4, from Alexandria via LeMat-Bulk.

Properties
- Formation energy: -388 meV/atom
- Crystal system: cubic
- Energy: -23.8 eV per formula unit
- Size of the total moment: 0.00 μB per cell

abc: 7.890 7.890 7.890
angles: 90.00 90.00 90.00
Space group F-43m (No. 216)
One atom of each set of equivalent atoms:
Ca 0.000 0.000 0.000 x4
Tm 0.250 0.250 0.250 x4
Al 0.125 0.125 0.625 x16


[2]
The following is a PBE calculation of a relaxed structure of LiBi2Pb2, from Alexandria via LeMat-Bulk.

Properties
- Formation energy: 64 meV/atom
- Crystal system: tetragonal
- Energy: -16.8 eV per formula unit
- Size of the total moment: 0.00 μB per cell

abc: 4.782 4.782 15.394
angles: 90.00 90.00 90.00
Space group I4/mmm (No. 139)
One atom of each set of equivalent atoms:
Li 0.000 0.000 0.000 x2
Bi 0.000 0.000 0.400 x4
Pb 0.000 0.500 0.250 x4


[3]
The following is a PBE calculation of a relaxed structure of TlCuAs, from Alexandria via LeMat-Bulk.

Properties
- Formation energy: 37 meV/atom
- Crystal system: tetragonal
- Energy: -11.0 eV per formula unit
- Size of the total moment: 0.00 μB per cell

abc: 8.175 8.175 4.021
angles: 90.00 90.00 90.00
Space group P4_2/m (No. 84)
One atom of each set of equivalent atoms:
Tl 0.084 0.745 0.000 x4
Cu 0.355 0.438 0.000 x4
As 0.186 0.467 0.500 x4


[4]
The following is a PBE calculation of a relaxed structure of AlV3Co, from Alexandria via LeMat-Bulk.

Properties
- Formation energy: 1526 meV/atom
- Crystal system: cubic
- Energy: -30.6 eV per formula unit
- Size of the total moment: 1.21 μB per cell

abc: 4.404 4.404 4.404
angles: 90.00 90.00 90.00
Space group Pm-3m (No. 221)
One atom of each set of equivalent atoms:
Al 0.000 0.000 0.000 x1
V 0.000 0.000 0.500 x3
Co 0.500 0.500 0.500 x1


[5]
The following is a PBE calculation of a relaxed structure of Rb2AgGeS4, from Alexandria via LeMat-Bulk.

Properties
- Crystal system: tetragonal
- Uncorrected formation energy: -0.608 eV/atom
- Energy: -30.8 eV per formula unit
- Size of the total moment: 2.18 μB per cell

abc: 8.030 8.030 6.882
angles: 90.00 90.00 90.00
Space group I-42m (No. 121)
One atom of each set of equivalent atoms:
Rb 0.000 0.500 0.000 x4
Ag 0.000 0.000 0.000 x2
Ge 0.000 0.000 0.500 x2
S 0.149 0.149 0.285 x8


[6]
The following is a PBE calculation of a relaxed structure of PrPuFe4, from Alexandria via LeMat-Bulk.

Properties
- Formation energy: 222 meV/atom
- Crystal system: cubic
- Energy: -51.6 eV per formula unit
- Size of the total moment: 48.61 μB per cell

abc: 7.310 7.310 7.310
angles: 90.00 90.00 90.00
Space group F-43m (No. 216)
One atom of each set of equivalent atoms:
Pr 0.000 0.000 0.000 x4
Pu 0.250 0.250 0.750 x4
Fe 0.123 0.123 0.377 x16


[7]
The following is a PBE calculation of a relaxed structure of YBePt3, from Alexandria via LeMat-Bulk.

Properties
- Formation energy: -784 meV/atom
- Crystal system: monoclinic
- Energy: -32.2 eV per formula unit
- Size of the total moment: 0.00 μB per cell

abc: 8.494 4.471 9.471
angles: 90.00 98.63 90.00
Space group P2_1/c (No. 14)
One atom of each set of equivalent atoms:
Y 0.160 0.109 0.168 x4
Be 0.403 0.679 0.048 x4
Pt 0.134 0.627 0.963 x4
Pt 0.333 0.146 0.929 x4
Pt 0.450 0.668 0.807 x4


[8]
The following is a PBE calculation of a relaxed structure of Be2TeRhPb, from Alexandria via LeMat-Bulk.

Properties
- Crystal system: tetragonal
- Uncorrected formation energy: 1.037 eV/atom
- Energy: -16.5 eV per formula unit
- Size of the total moment: 0.00 μB per cell

abc: 4.470 4.470 5.455
angles: 90.00 90.00 90.00
Space group P4/mmm (No. 123)
One atom of each set of equivalent atoms:
Be 0.000 0.500 0.000 x2
Te 0.000 0.000 0.500 x1
Rh 0.500 0.500 0.500 x1
Pb 0.500 0.500 0.000 x1


What density of states at the Fermi level values result from the calculations? In sequence: 4.252 3.084 1.748 7.673 6.992 21.430 2.172 2.354 states/eV/f.u..